# ScIrS3 (PBE, optimized geometry)
data_ScIrS3
_cell_length_a 4.807
_cell_length_b 4.807
_cell_length_c 4.807
_cell_angle_alpha 90.00
_cell_angle_beta 90.00
_cell_angle_gamma 90.00
_space_group_name_H-M_alt 'P 1'
_space_group_IT_number 1
loop_
_space_group_symop_operation_xyz
'x,y,z'
loop_
_atom_site_label
_atom_site_type_symbol
_atom_site_fract_x
_atom_site_fract_y
_atom_site_fract_z
Ir1 Ir 0.500 0.500 0.500
S1 S 0.000 0.000 0.500
S2 S 0.500 0.000 0.000
Sc1 Sc 0.000 0.000 0.000
S3 S 0.000 0.500 0.000
# - DOS at the Fermi energy (states/eV/cell) = 6.73
# - formation energy from raw total energies (eV per atom) = 0.550
# - energy relative to the lowest polymorph listed for this composition (meV per atom) = 660


# Sc3IrS (PBE, optimized geometry)
data_Sc3IrS
_cell_length_a 5.027
_cell_length_b 5.027
_cell_length_c 5.027
_cell_angle_alpha 90.00
_cell_angle_beta 90.00
_cell_angle_gamma 90.00
_space_group_name_H-M_alt 'P 1'
_space_group_IT_number 1
loop_
_space_group_symop_operation_xyz
'x,y,z'
loop_
_atom_site_label
_atom_site_type_symbol
_atom_site_fract_x
_atom_site_fract_y
_atom_site_fract_z
Sc1 Sc 0.000 0.000 0.500
Sc2 Sc 0.000 0.500 0.000
S1 S 0.500 0.500 0.500
Ir1 Ir 0.000 0.000 0.000
Sc3 Sc 0.500 0.000 0.000
# - DOS at the Fermi energy (states/eV/cell) = 5.24
# - formation energy from raw total energies (eV per atom) = -0.352
# - energy relative to the lowest polymorph listed for this composition (meV per atom) = 203


# Sc4IrS2 (PBE, optimized geometry)
data_Sc4IrS2
_cell_length_a 4.980
_cell_length_b 4.980
_cell_length_c 7.473
_cell_angle_alpha 70.54
_cell_angle_beta 70.54
_cell_angle_gamma 90.00
_space_group_name_H-M_alt 'P 1'
_space_group_IT_number 1
loop_
_space_group_symop_operation_xyz
'x,y,z'
loop_
_atom_site_label
_atom_site_type_symbol
_atom_site_fract_x
_atom_site_fract_y
_atom_site_fract_z
S1 S 0.621 0.621 0.759
Ir1 Ir 0.000 0.000 0.000
Sc1 Sc 0.000 0.500 0.000
S2 S 0.379 0.379 0.241
Sc2 Sc 0.500 0.000 0.000
Sc3 Sc 0.805 0.805 0.390
Sc4 Sc 0.195 0.195 0.610
# - DOS at the Fermi energy (states/eV/cell) = 7.26
# - formation energy from raw total energies (eV per atom) = -0.705


# ScIrS (PBE, optimized geometry)
data_ScIrS
_cell_length_a 4.073
_cell_length_b 4.073
_cell_length_c 9.889
_cell_angle_alpha 78.12
_cell_angle_beta 78.12
_cell_angle_gamma 60.00
_space_group_name_H-M_alt 'P 1'
_space_group_IT_number 1
loop_
_space_group_symop_operation_xyz
'x,y,z'
loop_
_atom_site_label
_atom_site_type_symbol
_atom_site_fract_x
_atom_site_fract_y
_atom_site_fract_z
Ir1 Ir 0.166 0.166 0.503
Sc1 Sc 0.425 0.425 0.726
Sc2 Sc 0.575 0.575 0.274
S1 S 0.277 0.277 0.168
S2 S 0.723 0.723 0.832
Ir2 Ir 0.834 0.834 0.497
# - DOS at the Fermi energy (states/eV/cell) = 3.13
# - formation energy from raw total energies (eV per atom) = -0.832


# ScIrS3 (PBE, optimized geometry)
data_ScIrS3
_cell_length_a 4.636
_cell_length_b 4.636
_cell_length_c 4.636
_cell_angle_alpha 90.00
_cell_angle_beta 90.00
_cell_angle_gamma 90.00
_space_group_name_H-M_alt 'P 1'
_space_group_IT_number 1
loop_
_space_group_symop_operation_xyz
'x,y,z'
loop_
_atom_site_label
_atom_site_type_symbol
_atom_site_fract_x
_atom_site_fract_y
_atom_site_fract_z
S1 S 0.000 0.500 0.000
S2 S 0.000 0.000 0.500
Ir1 Ir 0.000 0.000 0.000
S3 S 0.500 0.000 0.000
Sc1 Sc 0.500 0.500 0.500
# - DOS at the Fermi energy (states/eV/cell) = 4.55
# - formation energy from raw total energies (eV per atom) = -0.111
# - energy relative to the lowest polymorph listed for this composition (meV per atom) = 0


# Sc3IrS (PBE, optimized geometry)
data_Sc3IrS
_cell_length_a 4.691
_cell_length_b 4.691
_cell_length_c 4.691
_cell_angle_alpha 90.00
_cell_angle_beta 90.00
_cell_angle_gamma 90.00
_space_group_name_H-M_alt 'P 1'
_space_group_IT_number 1
loop_
_space_group_symop_operation_xyz
'x,y,z'
loop_
_atom_site_label
_atom_site_type_symbol
_atom_site_fract_x
_atom_site_fract_y
_atom_site_fract_z
Sc1 Sc 0.000 0.000 0.500
S1 S 0.000 0.000 0.000
Sc2 Sc 0.500 0.000 0.000
Ir1 Ir 0.500 0.500 0.500
Sc3 Sc 0.000 0.500 0.000
# - DOS at the Fermi energy (states/eV/cell) = 9.92
# - formation energy from raw total energies (eV per atom) = -0.555
# - energy relative to the lowest polymorph listed for this composition (meV per atom) = 0


# Sc4IrSe2S (PBE, optimized geometry)
data_Sc4IrSe2S
_cell_length_a 3.782
_cell_length_b 6.693
_cell_length_c 6.727
_cell_angle_alpha 71.09
_cell_angle_beta 90.00
_cell_angle_gamma 90.00
_space_group_name_H-M_alt 'P 1'
_space_group_IT_number 1
loop_
_space_group_symop_operation_xyz
'x,y,z'
loop_
_atom_site_label
_atom_site_type_symbol
_atom_site_fract_x
_atom_site_fract_y
_atom_site_fract_z
Se1 Se 0.500 0.000 0.500
Ir1 Ir 0.500 0.500 0.000
Sc1 Sc 0.000 0.725 0.762
Sc2 Sc 0.500 0.728 0.251
Sc3 Sc 0.500 0.272 0.749
Sc4 Sc 0.000 0.275 0.238
S1 S 0.000 0.500 0.500
Se2 Se 0.000 0.000 0.000
# - DOS at the Fermi energy (states/eV/cell) = 5.97
# - formation energy from raw total energies (eV per atom) = -1.433


# ScTaIrS2 (PBE, optimized geometry)
data_ScTaIrS2
_cell_length_a 4.573
_cell_length_b 5.902
_cell_length_c 4.573
_cell_angle_alpha 90.00
_cell_angle_beta 90.00
_cell_angle_gamma 90.00
_space_group_name_H-M_alt 'P 1'
_space_group_IT_number 1
loop_
_space_group_symop_operation_xyz
'x,y,z'
loop_
_atom_site_label
_atom_site_type_symbol
_atom_site_fract_x
_atom_site_fract_y
_atom_site_fract_z
Ta1 Ta 0.000 0.000 0.000
S1 S 0.000 0.000 0.500
Sc1 Sc 0.000 0.500 0.000
Ir1 Ir 0.500 0.500 0.500
S2 S 0.500 0.000 0.000
# - DOS at the Fermi energy (states/eV/cell) = 3.92
# - formation energy from raw total energies (eV per atom) = 0.628